(1)
Density functional theory data (PBE) for a relaxed structure of AcLaIn2Te4. Values from VASP.

## Properties
Space-group type: P2/m (10)
ΔE_f (raw): -1.06 eV/atom

Structure (Quantum ESPRESSO input):
```
&SYSTEM
  ibrav = 0, nat = 8, ntyp = 4
/
ATOMIC_SPECIES
Ac 227.00 Ac.upf
La 138.91 La.upf
In 114.82 In.upf
Te 127.60 Te.upf
CELL_PARAMETERS angstrom
8.1484 0.0000 0.0000
0.0000 4.7046 0.0000
-2.7140 0.0000 8.1083
ATOMIC_POSITIONS crystal
Ac 0.0000 0.0000 0.0000
La 0.5000 0.5000 0.0000
In 0.0000 0.5000 0.5000
In 0.5000 0.0000 0.5000
Te 0.2514 0.5000 0.2321
Te 0.2646 0.0000 0.7720
Te 0.7354 0.0000 0.2280
Te 0.7486 0.5000 0.7679
```

=====

(2)
Density functional theory data (PBE) for a relaxed structure of AcLaThIn. Values from VASP.

## Properties
Space-group type: F-43m (216)
Calculated formation energy: 0.00 eV per atom

Structure (Quantum ESPRESSO input):
```
&SYSTEM
  ibrav = 0, nat = 16, ntyp = 4
/
ATOMIC_SPECIES
Ac 227.00 Ac.upf
La 138.91 La.upf
Th 232.04 Th.upf
In 114.82 In.upf
CELL_PARAMETERS angstrom
8.1182 0.0000 0.0000
0.0000 8.1182 0.0000
0.0000 0.0000 8.1182
ATOMIC_POSITIONS crystal
Ac 0.0000 0.0000 0.0000
Ac 0.0000 0.5000 0.5000
Ac 0.5000 0.0000 0.5000
Ac 0.5000 0.5000 0.0000
La 0.2500 0.2500 0.2500
La 0.2500 0.7500 0.7500
La 0.7500 0.2500 0.7500
La 0.7500 0.7500 0.2500
Th 0.2500 0.2500 0.7500
Th 0.2500 0.7500 0.2500
Th 0.7500 0.2500 0.2500
Th 0.7500 0.7500 0.7500
In 0.0000 0.0000 0.5000
In 0.0000 0.5000 0.0000
In 0.5000 0.0000 0.0000
In 0.5000 0.5000 0.5000
```